No. 1
Below is a PBEsol-optimized structure of AlAgCl2, with properties calculated at the meta-GGA SCAN level.

Results
**Formation energy from raw total energies**: -1.118 eV/f.u.
**Energy above the lowest structure with this stoichiometry**: 1.86 eV/f.u.

Cell and atoms, written as CIF:
```
data_AlAgCl2
_space_group_name_H-M_alt 'I -4 m 2'
_space_group_IT_number 119
_space_group_name_Hall 'I -4 -2'
_cell_length_a 3.8524
_cell_length_b 3.8524
_cell_length_c 11.4280
_cell_angle_alpha 90.00
_cell_angle_beta 90.00
_cell_angle_gamma 90.00
loop_
_atom_site_label
_atom_site_fract_x
_atom_site_fract_y
_atom_site_fract_z
_atom_site_occupancy
Al1 0.0000 0.0000 0.0000 1
Ag1 0.0000 0.5000 0.7500 1
Cl1 0.0000 0.0000 0.5000 1
Cl2 0.0000 0.5000 0.2500 1
```

---

No. 2
Below is a PBEsol-optimized structure of TcHgSe, with properties calculated at the meta-GGA SCAN level.

Results
**Formation energy from raw total energies**: 0.294 eV/f.u.

Cell and atoms, written as CIF:
```
data_TcHgSe
_space_group_name_H-M_alt 'I 4 m m'
_space_group_IT_number 107
_space_group_name_Hall 'I 4 -2'
_cell_length_a 3.0137
_cell_length_b 3.0137
_cell_length_c 12.2628
_cell_angle_alpha 90.00
_cell_angle_beta 90.00
_cell_angle_gamma 90.00
loop_
_atom_site_label
_atom_site_fract_x
_atom_site_fract_y
_atom_site_fract_z
_atom_site_occupancy
Tc1 0.0000 0.0000 0.0000 1
Hg1 0.0000 0.0000 0.6625 1
Se1 0.0000 0.0000 0.3927 1
```

---

No. 3
Below is a PBEsol-optimized structure of V3Fe2O8, with properties calculated at the meta-GGA SCAN level.

Results
**Formation energy from raw total energies**: -29.831 eV/f.u.

Cell and atoms, written as CIF:
```
data_V3Fe2O8
_space_group_name_H-M_alt 'P 63 m c'
_space_group_IT_number 186
_space_group_name_Hall 'P 6c -2c'
_cell_length_a 5.6919
_cell_length_b 5.6919
_cell_length_c 9.3508
_cell_angle_alpha 90.00
_cell_angle_beta 90.00
_cell_angle_gamma 120.00
loop_
_atom_site_label
_atom_site_fract_x
_atom_site_fract_y
_atom_site_fract_z
_atom_site_occupancy
V1 0.1561 0.3122 0.0000 1
Fe1 0.3333 0.6667 0.2811 1
Fe2 0.3333 0.6667 0.6902 1
O1 0.0000 0.0000 0.1223 1
O2 0.0270 0.5135 0.1219 1
O3 0.1670 0.3341 0.3941 1
O4 0.3333 0.6667 0.8941 1
```

---

No. 4
Below is a PBEsol-optimized structure of YTaCo2, with properties calculated at the meta-GGA SCAN level.

Results
**E_form**: 1.2 eV per formula unit

Cell and atoms, written as CIF:
```
data_YTaCo2
_space_group_name_H-M_alt 'I m m 2'
_space_group_IT_number 44
_cell_length_a 3.3441
_cell_length_b 3.9041
_cell_length_c 10.1687
_cell_angle_alpha 90.00
_cell_angle_beta 90.00
_cell_angle_gamma 90.00
loop_
_space_group_symop_operation_xyz
'x,y,z'
'-x,-y,z'
'-x,y,z'
'x,-y,z'
'x+1/2,y+1/2,z+1/2'
'-x+1/2,-y+1/2,z+1/2'
'-x+1/2,y+1/2,z+1/2'
'x+1/2,-y+1/2,z+1/2'
loop_
_atom_site_label
_atom_site_fract_x
_atom_site_fract_y
_atom_site_fract_z
_atom_site_occupancy
Y1 0.0000 0.0000 0.0000 1
Ta1 0.0000 0.5000 0.2437 1
Co1 0.0000 0.0000 0.5703 1
Co2 0.0000 0.5000 0.7477 1
```

---

No. 5
Below is a PBEsol-optimized structure of LiLa2Sc, with properties calculated at the meta-GGA SCAN level.

Results
**E_form**: 0.3 eV per formula unit
**Energy above the lowest structure with this stoichiometry**: 0.00 eV/f.u.

Cell and atoms, written as CIF:
```
data_LiLa2Sc
_space_group_name_H-M_alt 'P 4/m m m'
_space_group_IT_number 123
_space_group_name_Hall '-P 4 2'
_cell_length_a 3.7939
_cell_length_b 3.7939
_cell_length_c 8.0887
_cell_angle_alpha 90.00
_cell_angle_beta 90.00
_cell_angle_gamma 90.00
loop_
_atom_site_label
_atom_site_fract_x
_atom_site_fract_y
_atom_site_fract_z
_atom_site_occupancy
Li1 0.0000 0.0000 0.0000 1
La1 0.5000 0.5000 0.2475 1
Sc1 0.0000 0.0000 0.5000 1
```

---

No. 6
Below is a PBEsol-optimized structure of La5Rh, with properties calculated at the meta-GGA SCAN level.

Results
**E_form**: -1.6 eV per formula unit
**Energy above the lowest structure with this stoichiometry**: 0.00 eV/f.u.

Cell and atoms, written as CIF:
```
data_La5Rh
_space_group_name_H-M_alt 'C 1 2/m 1'
_space_group_IT_number 12
_cell_length_a 12.0598
_cell_length_b 3.8158
_cell_length_c 8.2727
_cell_angle_alpha 90.00
_cell_angle_beta 107.39
_cell_angle_gamma 90.00
loop_
_space_group_symop_operation_xyz
'x,y,z'
'-x,-y,-z'
'-x,y,-z'
'x,-y,z'
'x+1/2,y+1/2,z'
'-x+1/2,-y+1/2,-z'
'-x+1/2,y+1/2,-z'
'x+1/2,-y+1/2,z'
loop_
_atom_site_label
_atom_site_fract_x
_atom_site_fract_y
_atom_site_fract_z
_atom_site_occupancy
La1 0.0000 0.0000 0.0000 1
La2 0.1240 0.5000 0.3793 1
La3 0.1782 0.5000 0.8204 1
Rh1 0.0000 0.0000 0.5000 1
```

---

No. 7
Below is a PBEsol-optimized structure of TlInH3, with properties calculated at the meta-GGA SCAN level.

Results
**Electronic total energy**: -22.67 eV/atom

Cell and atoms, written as CIF:
```
data_TlInH3
_space_group_name_H-M_alt 'P m -3 m'
_space_group_IT_number 221
_space_group_name_Hall '-P 4 2 3'
_cell_length_a 4.1659
_cell_length_b 4.1659
_cell_length_c 4.1659
_cell_angle_alpha 90.00
_cell_angle_beta 90.00
_cell_angle_gamma 90.00
loop_
_atom_site_label
_atom_site_fract_x
_atom_site_fract_y
_atom_site_fract_z
_atom_site_occupancy
Tl1 0.0000 0.0000 0.0000 1
In1 0.5000 0.5000 0.5000 1
H1 0.0000 0.0000 0.5000 1
```

---

No. 8
Below is a PBEsol-optimized structure of Ta2Ru3, with properties calculated at the meta-GGA SCAN level.

Results
**E_form**: -0.6 eV per formula unit
**Energy above the lowest structure with this stoichiometry**: 0.87 eV/f.u.

Cell and atoms, written as CIF:
```
data_Ta2Ru3
_space_group_name_H-M_alt 'P -3 m 1'
_space_group_IT_number 164
_space_group_name_Hall '-P 3 2"'
_cell_length_a 4.2784
_cell_length_b 4.2784
_cell_length_c 5.2476
_cell_angle_alpha 90.00
_cell_angle_beta 90.00
_cell_angle_gamma 120.00
loop_
_atom_site_label
_atom_site_fract_x
_atom_site_fract_y
_atom_site_fract_z
_atom_site_occupancy
Ta1 0.3333 0.6667 0.3119 1
Ru1 0.0000 0.0000 0.5000 1
Ru2 0.3333 0.6667 0.8288 1
```